Here is crystalline Ba2HgI at its relaxed geometry from the Alexandria database. Energies are from PBE.

Structure (CIF):
```
data_Ba2HgI
_cell_length_a 4.7919
_cell_length_b 4.7919
_cell_length_c 9.1361
_cell_angle_alpha 90.00
_cell_angle_beta 90.00
_cell_angle_gamma 120.00
_space_group_name_H-M_alt 'P -3 m 1'
_space_group_IT_number 164
_space_group_name_Hall '-P 3 2"'
loop_
_atom_site_label
_atom_site_fract_x
_atom_site_fract_y
_atom_site_fract_z
_atom_site_occupancy
Ba1 0.3333 0.6667 0.2255 1
Hg1 0.0000 0.0000 0.0000 1
I1 0.0000 0.0000 0.5000 1
```

Properties
Formation energy (no corrections)   -0.89 eV per atom
Calculated density   5.5 g cm⁻³

=====

Here is crystalline BaZnF3 at its relaxed geometry from the Alexandria database. Energies are from PBE.

Structure (CIF):
```
data_BaZnF3
_cell_length_a 4.418
_cell_length_b 14.791
_cell_length_c 5.978
_cell_angle_alpha 90.00
_cell_angle_beta 90.00
_cell_angle_gamma 90.00
_space_group_name_H-M_alt 'A m a 2'
_space_group_IT_number 40
_space_group_name_Hall 'A 2 -2a'
loop_
_atom_site_label
_atom_site_fract_x
_atom_site_fract_y
_atom_site_fract_z
_atom_site_occupancy
Ba1 0.250 0.170 0.000 1
Zn1 0.250 0.441 0.011 1
F1 0.250 0.060 0.326 1
F2 0.250 0.322 0.244 1
F3 0.250 0.330 0.771 1
```

Properties
Formation energy (no corrections)   -2.76 eV per atom
Calculated density   4.4 g cm⁻³

=====

Here is crystalline Sr2HgRuC at its relaxed geometry from the Alexandria database. Energies are from PBE.

Structure (CIF):
```
data_Sr2HgRuC
_cell_length_a 5.565
_cell_length_b 5.565
_cell_length_c 3.913
_cell_angle_alpha 90.00
_cell_angle_beta 90.00
_cell_angle_gamma 90.00
_space_group_name_H-M_alt 'P 4/m m m'
_space_group_IT_number 123
_space_group_name_Hall '-P 4 2'
loop_
_atom_site_label
_atom_site_fract_x
_atom_site_fract_y
_atom_site_fract_z
_atom_site_occupancy
Sr1 0.000 0.500 0.000 1
Hg1 0.000 0.000 0.500 1
Ru1 0.500 0.500 0.500 1
C1 0.500 0.500 0.000 1
```

Properties
Calculated formation energy   -0.30 eV per formula unit
Calculated density   6.7 g cm⁻³

=====

Here is crystalline Pm7Pr4Ho at its relaxed geometry from the Alexandria database. Energies are from PBE.

Structure (CIF):
```
data_Pm7Pr4Ho
_cell_length_a 16.536
_cell_length_b 6.088
_cell_length_c 9.398
_cell_angle_alpha 90.00
_cell_angle_beta 116.20
_cell_angle_gamma 90.00
_space_group_name_H-M_alt 'C 1 2/m 1'
_space_group_IT_number 12
_space_group_name_Hall '-C 2y'
loop_
_atom_site_label
_atom_site_fract_x
_atom_site_fract_y
_atom_site_fract_z
_atom_site_occupancy
Pm1 0.000 0.000 0.000 1
Pm2 0.080 0.500 0.434 1
Pm3 0.207 0.500 0.222 1
Pm4 0.209 0.500 0.875 1
Pr1 0.075 0.000 0.702 1
Pr2 0.174 0.000 0.387 1
Ho1 0.000 0.500 0.000 1
```

Properties
Calculated formation energy   2.55 eV per formula unit
Calculated density   6.8 g cm⁻³

=====

Here is crystalline CrInPb2 at its relaxed geometry from the Alexandria database. Energies are from PBE.

Structure (CIF):
```
data_CrInPb2
_cell_length_a 3.421
_cell_length_b 3.421
_cell_length_c 8.715
_cell_angle_alpha 90.00
_cell_angle_beta 90.00
_cell_angle_gamma 90.00
_space_group_name_H-M_alt 'P 4 m m'
_space_group_IT_number 99
_space_group_name_Hall 'P 4 -2'
loop_
_atom_site_label
_atom_site_fract_x
_atom_site_fract_y
_atom_site_fract_z
_atom_site_occupancy
Cr1 0.000 0.000 0.000 1
In1 0.500 0.500 0.190 1
Pb1 0.000 0.000 0.465 1
Pb2 0.500 0.500 0.779 1
```

Properties
Calculated formation energy   1.15 eV per formula unit
Calculated density   9.5 g cm⁻³

=====

Here is crystalline ScTe2NCl at its relaxed geometry from the Alexandria database. Energies are from PBE.

Structure (CIF):
```
data_ScTe2NCl
_cell_length_a 5.315
_cell_length_b 5.315
_cell_length_c 3.914
_cell_angle_alpha 90.00
_cell_angle_beta 90.00
_cell_angle_gamma 90.00
_space_group_name_H-M_alt 'P 4/m m m'
_space_group_IT_number 123
_space_group_name_Hall '-P 4 2'
loop_
_atom_site_label
_atom_site_fract_x
_atom_site_fract_y
_atom_site_fract_z
_atom_site_occupancy
Sc1 0.000 0.000 0.000 1
Te1 0.000 0.500 0.500 1
N1 0.500 0.500 0.000 1
Cl1 0.500 0.500 0.500 1
```

Properties
Formation energy (no corrections)   0.89 eV per atom
Calculated density   5.3 g cm⁻³

=====

Here is crystalline HfZrBe4 at its relaxed geometry from the Alexandria database. Energies are from PBE.

Structure (CIF):
```
data_HfZrBe4
_cell_length_a 6.758
_cell_length_b 6.758
_cell_length_c 6.758
_cell_angle_alpha 90.00
_cell_angle_beta 90.00
_cell_angle_gamma 90.00
_space_group_name_H-M_alt 'F -4 3 m'
_space_group_IT_number 216
_space_group_name_Hall 'F -4 2 3'
loop_
_atom_site_label
_atom_site_fract_x
_atom_site_fract_y
_atom_site_fract_z
_atom_site_occupancy
Hf1 0.000 0.000 0.000 1
Zr1 0.250 0.250 0.750 1
Be1 0.125 0.125 0.375 1
```

Properties
Calculated formation energy   -0.50 eV per formula unit
Calculated density   6.6 g cm⁻³

=====

Here is crystalline In3FeHg at its relaxed geometry from the Alexandria database. Energies are from PBE.

Structure (CIF):
```
data_In3FeHg
_cell_length_a 5.050
_cell_length_b 5.050
_cell_length_c 5.050
_cell_angle_alpha 90.00
_cell_angle_beta 90.00
_cell_angle_gamma 90.00
_space_group_name_H-M_alt 'P m -3 m'
_space_group_IT_number 221
_space_group_name_Hall '-P 4 2 3'
loop_
_atom_site_label
_atom_site_fract_x
_atom_site_fract_y
_atom_site_fract_z
_atom_site_occupancy
In1 0.000 0.000 0.500 1
Fe1 0.000 0.000 0.000 1
Hg1 0.500 0.500 0.500 1
```

Properties
Calculated formation energy   0.79 eV per formula unit
Calculated density   7.7 g cm⁻³

=====

Here is crystalline LiThUN3 at its relaxed geometry from the Alexandria database. Energies are from PBE.

Structure (CIF):
```
data_LiThUN3
_cell_length_a 7.007
_cell_length_b 3.445
_cell_length_c 7.208
_cell_angle_alpha 90.00
_cell_angle_beta 102.98
_cell_angle_gamma 90.00
_space_group_name_H-M_alt 'P 1 21/m 1'
_space_group_IT_number 11
_space_group_name_Hall '-P 2yb'
loop_
_atom_site_label
_atom_site_fract_x
_atom_site_fract_y
_atom_site_fract_z
_atom_site_occupancy
Li1 0.085 0.250 0.075 1
Th1 0.282 0.750 0.819 1
U1 0.315 0.750 0.334 1
N1 0.006 0.750 0.201 1
N2 0.362 0.250 0.579 1
N3 0.367 0.250 0.115 1
```

Properties
Formation energy (no corrections)   -1.19 eV per atom
Calculated density   10.2 g cm⁻³

=====

Here is crystalline Li2Cd6In3 at its relaxed geometry from the Alexandria database. Energies are from PBE.

Structure (CIF):
```
data_Li2Cd6In3
_cell_length_a 15.452
_cell_length_b 3.171
_cell_length_c 10.332
_cell_angle_alpha 90.00
_cell_angle_beta 90.72
_cell_angle_gamma 90.00
_space_group_name_H-M_alt 'C 1 2/m 1'
_space_group_IT_number 12
_space_group_name_Hall '-C 2y'
loop_
_atom_site_label
_atom_site_fract_x
_atom_site_fract_y
_atom_site_fract_z
_atom_site_occupancy
Li1 0.099 0.000 0.451 1
Cd1 0.050 0.000 0.711 1
Cd2 0.131 0.500 0.214 1
Cd3 0.220 0.500 0.625 1
In1 0.000 0.000 0.000 1
In2 0.178 0.500 0.918 1
```

Properties
Calculated formation energy   -0.51 eV per formula unit
Calculated density   6.8 g cm⁻³

=====

Here is crystalline TbPr2ScP4 at its relaxed geometry from the Alexandria database. Energies are from PBE.

Structure (CIF):
```
data_TbPr2ScP4
_cell_length_a 7.010
_cell_length_b 4.062
_cell_length_c 7.024
_cell_angle_alpha 90.00
_cell_angle_beta 109.51
_cell_angle_gamma 90.00
_space_group_name_H-M_alt 'P 1 2/m 1'
_space_group_IT_number 10
_space_group_name_Hall '-P 2y'
loop_
_atom_site_label
_atom_site_fract_x
_atom_site_fract_y
_atom_site_fract_z
_atom_site_occupancy
Tb1 0.000 0.000 0.000 1
Pr1 0.500 0.000 0.500 1
Pr2 0.500 0.500 0.000 1
Sc1 0.000 0.500 0.500 1
P1 0.229 0.000 0.736 1
P2 0.234 0.500 0.252 1
```

Properties
Calculated formation energy   -11.93 eV per formula unit
Calculated density   5.4 g cm⁻³

=====

Here is crystalline YIr2Au2 at its relaxed geometry from the Alexandria database. Energies are from PBE.

Structure (CIF):
```
data_YIr2Au2
_cell_length_a 4.035
_cell_length_b 4.035
_cell_length_c 12.276
_cell_angle_alpha 90.00
_cell_angle_beta 90.00
_cell_angle_gamma 90.00
_space_group_name_H-M_alt 'I 4/m m m'
_space_group_IT_number 139
_space_group_name_Hall '-I 4 2'
loop_
_atom_site_label
_atom_site_fract_x
_atom_site_fract_y
_atom_site_fract_z
_atom_site_occupancy
Y1 0.000 0.000 0.000 1
Ir1 0.000 0.000 0.404 1
Au1 0.000 0.500 0.250 1
```

Properties
Calculated formation energy   -0.84 eV per formula unit
Calculated density   14.4 g cm⁻³

=====

Here is crystalline Ca2LaAs2 at its relaxed geometry from the Alexandria database. Energies are from PBE.

Structure (CIF):
```
data_Ca2LaAs2
_cell_length_a 4.494
_cell_length_b 4.494
_cell_length_c 13.323
_cell_angle_alpha 90.00
_cell_angle_beta 90.00
_cell_angle_gamma 90.00
_space_group_name_H-M_alt 'I 4/m m m'
_space_group_IT_number 139
_space_group_name_Hall '-I 4 2'
loop_
_atom_site_label
_atom_site_fract_x
_atom_site_fract_y
_atom_site_fract_z
_atom_site_occupancy
Ca1 0.000 0.500 0.250 1
La1 0.000 0.000 0.000 1
As1 0.000 0.000 0.393 1
```

Properties
Calculated formation energy   -4.43 eV per formula unit
Calculated density   4.6 g cm⁻³

=====

Here is crystalline Ca2MgTc at its relaxed geometry from the Alexandria database. Energies are from PBE.

Structure (CIF):
```
data_Ca2MgTc
_cell_length_a 4.698
_cell_length_b 4.698
_cell_length_c 8.574
_cell_angle_alpha 90.00
_cell_angle_beta 90.00
_cell_angle_gamma 90.00
_space_group_name_H-M_alt 'I -4 m 2'
_space_group_IT_number 119
_space_group_name_Hall 'I -4 -2'
loop_
_atom_site_label
_atom_site_fract_x
_atom_site_fract_y
_atom_site_fract_z
_atom_site_occupancy
Ca1 0.000 0.000 0.000 1
Ca2 0.000 0.500 0.250 1
Mg1 0.000 0.500 0.750 1
Tc1 0.000 0.000 0.500 1
```

Properties
Calculated formation energy   1.89 eV per formula unit
Calculated density   3.6 g cm⁻³

=====

Here is crystalline HoCdIn at its relaxed geometry from the Alexandria database. Energies are from PBE.

Structure (CIF):
```
data_HoCdIn
_cell_length_a 4.9039
_cell_length_b 4.9039
_cell_length_c 3.5677
_cell_angle_alpha 90.00
_cell_angle_beta 90.00
_cell_angle_gamma 120.00
_space_group_name_H-M_alt 'P 3 m 1'
_space_group_IT_number 156
_space_group_name_Hall 'P 3 -2"'
loop_
_atom_site_label
_atom_site_fract_x
_atom_site_fract_y
_atom_site_fract_z
_atom_site_occupancy
Ho1 0.0000 0.0000 0.0000 1
Cd1 0.3333 0.6667 0.4977 1
In1 0.6667 0.3333 0.5025 1
```

Properties
Calculated formation energy   -1.12 eV per formula unit
Calculated density   8.8 g cm⁻³

=====

Here is crystalline Th4CoAuS2 at its relaxed geometry from the Alexandria database. Energies are from PBE.

Structure (CIF):
```
data_Th4CoAuS2
_cell_length_a 7.157
_cell_length_b 4.072
_cell_length_c 7.320
_cell_angle_alpha 90.00
_cell_angle_beta 108.32
_cell_angle_gamma 90.00
_space_group_name_H-M_alt 'P 1 2/m 1'
_space_group_IT_number 10
_space_group_name_Hall '-P 2y'
loop_
_atom_site_label
_atom_site_fract_x
_atom_site_fract_y
_atom_site_fract_z
_atom_site_occupancy
Th1 0.228 0.000 0.248 1
Th2 0.229 0.500 0.735 1
Co1 0.000 0.000 0.500 1
Au1 0.500 0.500 0.500 1
S1 0.000 0.500 0.000 1
S2 0.500 0.000 0.000 1
```

Properties
Formation energy (no corrections)   -1.04 eV per atom
Calculated density   10.2 g cm⁻³

=====

Here is crystalline LaPrC at its relaxed geometry from the Alexandria database. Energies are from PBE.

Structure (CIF):
```
data_LaPrC
_cell_length_a 3.7187
_cell_length_b 3.7187
_cell_length_c 6.8252
_cell_angle_alpha 90.00
_cell_angle_beta 90.00
_cell_angle_gamma 120.00
_space_group_name_H-M_alt 'P 3 m 1'
_space_group_IT_number 156
_space_group_name_Hall 'P 3 -2"'
loop_
_atom_site_label
_atom_site_fract_x
_atom_site_fract_y
_atom_site_fract_z
_atom_site_occupancy
La1 0.0000 0.0000 0.0000 1
Pr1 0.3333 0.6667 0.4218 1
C1 0.6667 0.3333 0.2102 1
```

Properties
Calculated formation energy   -0.30 eV per formula unit
Calculated density   5.9 g cm⁻³

=====

Here is crystalline Cs4Na4Hg at its relaxed geometry from the Alexandria database. Energies are from PBE.

Structure (CIF):
```
data_Cs4Na4Hg
_cell_length_a 11.996
_cell_length_b 11.996
_cell_length_c 8.790
_cell_angle_alpha 90.00
_cell_angle_beta 90.00
_cell_angle_gamma 90.00
_space_group_name_H-M_alt 'P 42/n m c'
_space_group_IT_number 137
loop_
_space_group_symop_operation_xyz
'x,y,z'
'-x,-y,-z'
'-y+1/2,x,z+1/2'
'y+1/2,-x,-z+1/2'
'-x+1/2,-y+1/2,z'
'x+1/2,y+1/2,-z'
'y,-x+1/2,z+1/2'
'-y,x+1/2,-z+1/2'
'x+1/2,-y,-z'
'-x+1/2,y,z'
'-y,-x,-z+1/2'
'y,x,z+1/2'
'-x,y+1/2,-z'
'x,-y+1/2,z'
'y+1/2,x+1/2,-z+1/2'
'-y+1/2,-x+1/2,z+1/2'
loop_
_atom_site_label
_atom_site_fract_x
_atom_site_fract_y
_atom_site_fract_z
_atom_site_occupancy
Cs1 0.002 0.250 0.066 1
Na1 0.021 0.750 0.411 1
Hg1 0.250 0.750 0.250 1
```

Properties
Calculated formation energy   -0.01 eV per formula unit
Calculated density   2.2 g cm⁻³

=====

Here is crystalline Mn2CrSi at its relaxed geometry from the Alexandria database. Energies are from PBE.

Structure (CIF):
```
data_Mn2CrSi
_cell_length_a 2.564
_cell_length_b 3.712
_cell_length_c 4.801
_cell_angle_alpha 90.00
_cell_angle_beta 90.00
_cell_angle_gamma 90.00
_space_group_name_H-M_alt 'P m m 2'
_space_group_IT_number 25
_space_group_name_Hall 'P 2 -2'
loop_
_atom_site_label
_atom_site_fract_x
_atom_site_fract_y
_atom_site_fract_z
_atom_site_occupancy
Mn1 0.000 0.000 0.000 1
Mn2 0.500 0.500 0.267 1
Cr1 0.500 0.500 0.754 1
Si1 0.000 0.000 0.499 1
```

Properties
Formation energy (no corrections)   -0.13 eV per atom
Calculated density   6.9 g cm⁻³

=====

Here is crystalline KHf2VAg at its relaxed geometry from the Alexandria database. Energies are from PBE.

Structure (CIF):
```
data_KHf2VAg
_cell_length_a 4.943
_cell_length_b 4.943
_cell_length_c 4.374
_cell_angle_alpha 90.00
_cell_angle_beta 90.00
_cell_angle_gamma 90.00
_space_group_name_H-M_alt 'P 4/m m m'
_space_group_IT_number 123
_space_group_name_Hall '-P 4 2'
loop_
_atom_site_label
_atom_site_fract_x
_atom_site_fract_y
_atom_site_fract_z
_atom_site_occupancy
K1 0.000 0.000 0.000 1
Hf1 0.000 0.500 0.000 1
V1 0.000 0.000 0.500 1
Ag1 0.500 0.500 0.500 1
```

Properties
Calculated formation energy   11.12 eV per formula unit
Calculated density   8.6 g cm⁻³